Entry 1:
An optimized crystal structure of BaZn3Ge, computed with GGA-PBE.

Summary:
Theoretical density ... 5.0 g/cm³
Calculated formation energy ... 0.070 eV per atom
Relative energy among the computed polymorphs ... 302.5 meV/atom
DFT total energy ... -2.0025 eV/atom

Cell lengths 5.1152, 5.1152, 5.1152 Å; angles 90.00, 90.00, 90.00 degrees
Last column: nearest neighbours and their distance in Å.
Space group Pm-3m (No. 221)
Asymmetric unit:
Ba (0.0000, 0.0000, 0.0000) [1 per cell]  12 Zn 3.62
Zn (0.0000, 0.5000, 0.5000) [3 per cell]  2 Ge 2.56
Ge (0.5000, 0.5000, 0.5000) [1 per cell]  6 Zn 2.56

---

Entry 2:
An optimized crystal structure of BaZn3Ge3, computed with GGA-PBE.

Summary:
Theoretical density ... 4.9 g/cm³
Calculated formation energy ... -0.052 eV per atom
Relative energy among the computed polymorphs ... 50.4 meV/atom
DFT total energy ... -2.8516 eV/atom

Cell lengths 9.9121, 4.4250, 9.9226 Å; angles 90.00, 119.88, 90.00 degrees
Last column: nearest neighbours and their distance in Å.
Space group P2_1/m (No. 11)
Asymmetric unit:
Ba (0.1662, 0.2500, 0.3327) [2 per cell]  6 Zn 3.42, 9 Ge 3.50-3.57
Zn (0.1076, 0.2500, 0.9167) [2 per cell]  4 Ge 2.52-2.76
Zn (0.1906, 0.7500, 0.6069) [2 per cell]  4 Ge 2.52-2.76
Zn (0.4164, 0.7500, 0.3088) [2 per cell]  4 Ge 2.52-2.76
Ge (0.1006, 0.2500, 0.6550) [2 per cell]  4 Zn 2.52-2.76
Ge (0.1554, 0.7500, 0.0543) [2 per cell]  4 Zn 2.52-2.76
Ge (0.4455, 0.7500, 0.5997) [2 per cell]  4 Zn 2.52-2.76

---

Entry 3:
An optimized crystal structure of BaZrGe, computed with GGA-PBE.

Summary:
Theoretical density ... 4.8 g/cm³
Calculated formation energy ... -0.463 eV per atom
DFT total energy ... -5.4925 eV/atom

Cell lengths 4.5178, 4.5178, 10.1556 Å; angles 90.00, 90.00, 90.00 degrees
Last column: nearest neighbours and their distance in Å.
Space group P4/nmm (No. 129, origin choice 2)
Asymmetric unit:
Ba (0.2500, 0.2500, 0.1908) [2 per cell]  4 Ge 3.52, 4 Zr 3.87
Zr (0.2500, 0.7500, 0.5000) [2 per cell]  4 Ge 2.81
Ge (0.2500, 0.2500, 0.6646) [2 per cell]  4 Zr 2.81

---

Repeat the third record exactly.
An optimized crystal structure of BaZrGe, computed with GGA-PBE.

Summary:
Theoretical density ... 4.8 g/cm³
Calculated formation energy ... -0.463 eV per atom
DFT total energy ... -5.4925 eV/atom

Cell lengths 4.5178, 4.5178, 10.1556 Å; angles 90.00, 90.00, 90.00 degrees
Last column: nearest neighbours and their distance in Å.
Space group P4/nmm (No. 129, origin choice 2)
Asymmetric unit:
Ba (0.2500, 0.2500, 0.1908) [2 per cell]  4 Ge 3.52, 4 Zr 3.87
Zr (0.2500, 0.7500, 0.5000) [2 per cell]  4 Ge 2.81
Ge (0.2500, 0.2500, 0.6646) [2 per cell]  4 Zr 2.81